(1)
FeAu2Se: optimized geometry, PBE-GGA.

The structure in POSCAR format:
```
FeAu2Se
1.0
2.847 0.000 0.000
0.000 2.992 0.000
-0.021 0.000 8.562
Fe Au Se
1 2 1
Direct
0.000 0.000 0.000
0.003 0.000 0.459
0.501 0.500 0.209
0.015 0.500 0.784
```

Energy in eV per atom: -4.4917
M_tot in μB/cell: 2.667
Crystal system: monoclinic
Raw formation energy in eV/f.u.: 0.5
SG: No. 6



(2)
TeIrNO2: optimized geometry, PBE-GGA.

The structure in POSCAR format:
```
TeIrNO2
1.0
3.939 0.000 0.000
0.000 3.939 0.000
0.000 0.000 4.278
Te Ir N O
1 1 1 2
Direct
0.000 0.000 0.000
0.500 0.500 0.500
0.000 0.000 0.500
0.000 0.500 0.000
0.500 0.000 0.000
```

Energy in eV per atom: -4.9486
M_tot in μB/cell: 2.306
Crystal system: tetragonal
Raw formation energy in eV/f.u.: 5.5
SG: No. 123



(3)
Cs2Ag2Pt: optimized geometry, PBE-GGA.

The structure in POSCAR format:
```
Cs2Ag2Pt
1.0
2.389 1.379 10.901
-2.389 1.379 10.901
0.000 -2.758 10.901
Cs Ag Pt
2 2 1
Direct
0.077 0.077 0.077
0.923 0.923 0.923
0.177 0.177 0.177
0.823 0.823 0.823
0.500 0.500 0.500
```

Energy in eV per atom: -2.7158
M_tot in μB/cell: 0.000
Crystal system: trigonal
ΔH_f (0 K) in eV/atom: -0.026
SG: No. 166



(4)
K2TlO: optimized geometry, PBE-GGA.

The structure in POSCAR format:
```
K2TlO
1.0
3.721 0.000 0.000
1.853 3.229 0.000
0.027 -0.006 10.179
K Tl O
2 1 1
Direct
0.000 0.000 0.000
0.003 0.999 0.707
0.330 0.340 0.353
0.335 0.334 0.853
```

Energy in eV per atom: -2.9561
M_tot in μB/cell: 0.332
Crystal system: triclinic
Raw formation energy in eV/f.u.: -2.3
SG: No. 1



(5)
Sr2SnSb4: optimized geometry, PBE-GGA.

The structure in POSCAR format:
```
Sr2SnSb4
1.0
4.458 0.000 0.000
0.000 4.458 0.000
0.000 0.000 11.769
Sr Sn Sb
2 1 4
Direct
0.000 0.500 0.226
0.500 0.000 0.774
0.000 0.000 0.500
0.000 0.000 0.000
0.000 0.500 0.658
0.500 0.000 0.342
0.500 0.500 0.000
```

Energy in eV per atom: -3.9187
M_tot in μB/cell: 0.000
Crystal system: tetragonal
Raw formation energy in eV/f.u.: -3.6
SG: No. 115



(6)
BaYCdP2: optimized geometry, PBE-GGA.

The structure in POSCAR format:
```
BaYCdP2
1.0
5.354 0.000 0.000
0.000 5.354 0.000
0.000 0.000 5.631
Ba Y Cd P
1 1 1 2
Direct
0.000 0.000 0.000
0.500 0.500 0.500
0.500 0.500 0.000
0.000 0.500 0.500
0.500 0.000 0.500
```

Energy in eV per atom: -4.3695
M_tot in μB/cell: 0.000
Crystal system: tetragonal
ΔH_f (0 K) in eV/atom: -0.345
SG: No. 123